1.
Density functional theory data (PBE-GGA) for a geometry-optimized SrH7Ru2 structure.

```
SrH7Ru2
1.0
3.522 0.000 0.000
0.000 4.726 -2.579
0.000 -0.138 5.366
H Ru Sr
7 2 1
direct
0.500 0.037 0.701
0.000 0.664 0.328
0.500 0.336 0.299
0.500 0.963 0.299
0.500 0.664 0.701
0.000 0.336 0.672
0.500 0.500 0.000
0.500 0.687 0.374
0.500 0.313 0.626
0.000 0.000 0.000
```

Calculated values
raw total energy = -4.51 eV per atom
SG = Cmmm

=====

2.
Density functional theory data (PBE-GGA) for a geometry-optimized SrH4Ru structure.

```
SrH4Ru
1.0
4.753 -0.106 0.000
-1.315 5.545 0.000
-1.719 -2.720 5.222
H Sr Ru
8 2 2
direct
0.568 0.250 0.104
0.964 0.146 0.896
0.869 0.688 0.614
0.131 0.312 0.386
0.036 0.854 0.104
0.432 0.750 0.896
0.245 0.926 0.614
0.755 0.074 0.386
0.607 0.357 0.715
0.393 0.643 0.285
0.816 0.066 0.132
0.184 0.934 0.868
```

Calculated values
raw total energy = -4.32 eV per atom
SG = C2/c

=====

3.
Density functional theory data (PBE-GGA) for a geometry-optimized SrH3Ru structure.

```
SrH3Ru
1.0
4.298 0.000 0.000
0.000 4.298 0.000
0.000 0.000 4.298
H Sr Ru
3 1 1
direct
0.500 0.000 0.000
0.000 0.000 0.500
0.000 0.500 0.000
0.000 0.000 0.000
0.500 0.500 0.500
```

Calculated values
raw total energy = -3.12 eV per atom
SG = Pm-3m

=====

4.
Density functional theory data (PBE-GGA) for a geometry-optimized Sr2HRu structure.

```
Sr2HRu
1.0
-6.387 3.064 0.460
-1.336 -1.773 -6.743
-5.390 -2.719 -1.954
Ru Sr H
2 4 2
direct
0.750 0.250 0.500
0.000 0.000 0.000
0.375 0.439 0.750
0.875 0.811 0.750
0.561 0.125 0.250
0.189 0.625 0.250
0.500 0.500 0.000
0.250 0.750 0.500
```

Calculated values
raw total energy = -3.60 eV per atom
E above lowest polymorph = 0 meV per atom
SG = I-42d

=====

5.
Density functional theory data (PBE-GGA) for a geometry-optimized Sr2HRu structure.

```
Sr2HRu
1.0
0.000 3.621 3.621
3.621 0.000 3.621
3.621 3.621 0.000
Ru Sr H
1 2 1
direct
0.500 0.500 0.500
0.250 0.250 0.250
0.750 0.750 0.750
0.000 0.000 0.000
```

Calculated values
raw total energy = -3.49 eV per atom
E above lowest polymorph = 103 meV per atom
SG = Fm-3m

=====

6.
Density functional theory data (PBE-GGA) for a geometry-optimized Sr2H6Ru structure.

```
Sr2H6Ru
1.0
5.356 0.000 0.000
2.678 4.638 0.000
2.678 1.546 4.373
H Sr Ru
6 2 1
direct
0.772 0.772 0.228
0.228 0.228 0.772
0.772 0.228 0.228
0.228 0.772 0.228
0.228 0.772 0.772
0.772 0.228 0.772
0.750 0.750 0.750
0.250 0.250 0.250
0.000 0.000 0.000
```

Calculated values
raw total energy = -4.25 eV per atom
SG = Fm-3m